Here is a relaxed structure of AlBiMoO2 from the Alexandria database. Energies are from PBE+U.

Properties
spin magnetization	3.82	Bohr magnetons per cell
crystal system	tetragonal
E	-5.26	eV per atom

a = 3.8362 Å, b = 3.8362 Å, c = 6.0914 Å
α = 90.00°, β = 90.00°, γ = 90.00°
Closest atoms and distances in Å follow each position.
Space group P4/mmm (No. 123)
Asymmetric unit:
Al1 0.0000 0.0000 0.0000  4 O 1.92
Bi1 0.5000 0.5000 0.5000  4 Mo 2.71
Mo1 0.0000 0.0000 0.5000  4 Bi 2.71
O1 0.0000 0.5000 0.0000  2 Al 1.92